1.
Computed, not measured: a relaxed structure of LaCd3Pt3 at the GGA-PBE level of DFT.

a = 8.8521 Å, b = 8.8521 Å, c = 4.4905 Å
α = 90.00°, β = 90.00°, γ = 120.00°
Fractional positions:
La (0.3333, 0.6667, 0.2500)
La (0.6667, 0.3333, 0.7500)
Cd (0.0313, 0.7734, 0.7500)
Cd (0.2266, 0.2579, 0.7500)
Cd (0.2579, 0.0313, 0.2500)
Cd (0.7421, 0.9687, 0.7500)
Cd (0.7734, 0.7421, 0.2500)
Cd (0.9687, 0.2266, 0.2500)
Pt (0.0458, 0.4416, 0.7500)
Pt (0.3958, 0.9542, 0.7500)
Pt (0.4416, 0.3958, 0.2500)
Pt (0.5584, 0.6042, 0.7500)
Pt (0.6042, 0.0458, 0.2500)
Pt (0.9542, 0.5584, 0.2500)

Computed properties:
Space group: No. 176
Polymorph energy (0 for the lowest one) (eV per formula unit): 0.00
DOS at the Fermi energy (states/eV per cell): 8.23
Total moment (μB/atom): 0.000
DFT formation energy (kcal/mol of atoms): -13.04

2.
Computed, not measured: a relaxed structure of PbI2Cl at the GGA-PBE level of DFT.

a = 5.6451 Å, b = 5.6451 Å, c = 5.6451 Å
α = 60.00°, β = 60.00°, γ = 60.00°
Fractional positions:
Pb (0.0000, 0.0000, 0.0000)
I (0.2500, 0.2500, 0.2500)
I (0.7500, 0.7500, 0.7500)
Cl (0.5000, 0.5000, 0.5000)

Computed properties:
Space group: No. 225
Polymorph energy (0 for the lowest one) (eV per formula unit): 0.92
DOS at the Fermi energy (states/eV per cell): 5.26
Total moment (μB/atom): 0.250

3.
Computed, not measured: a relaxed structure of RbLi2MnH at the GGA-PBE level of DFT.

a = 5.9574 Å, b = 5.9574 Å, c = 3.4490 Å
α = 90.00°, β = 90.00°, γ = 90.00°
Fractional positions:
Rb (0.0000, 0.0000, 0.0000)
Li (0.0000, 0.5000, 0.5000)
Li (0.5000, 0.0000, 0.5000)
Mn (0.5000, 0.5000, 0.5000)
H (0.5000, 0.5000, 0.0000)

Computed properties:
Space group: No. 123
E_tot (eV per atom): -2.918
DOS at the Fermi energy (states/eV per cell): 2.85
Total moment (μB/atom): 0.742

Question: Number 3 is which compound?
Answer: RbLi2MnH

Question: The highest DOS at the Fermi energy belongs to which entry?
Answer: LaCd3Pt3

Question: Which value of total moment does entry 2 give?
Answer: 0.250 μB/atom